The following is a PBE calculation of a geometry-optimized MnVSiB structure, from Alexandria via LeMat-Bulk.

a = 2.776 Å, b = 2.776 Å, c = 5.424 Å
α = 90.00°, β = 90.00°, γ = 90.00°
Element x y z (fractional)
B (0.000, 0.000, 0.261)
V (0.000, 0.000, 0.822)
Mn (0.500, 0.500, 0.106)
Si (0.500, 0.500, 0.528)

Computed properties:
VASP energy: -7.7972 eV/atom
SG: No. 99

---

The following is a PBE calculation of a geometry-optimized MnVSiB structure, from Alexandria via LeMat-Bulk.

a = 2.942 Å, b = 3.053 Å, c = 9.527 Å
α = 90.00°, β = 90.00°, γ = 90.00°
Element x y z (fractional)
Si (0.500, 0.500, 0.127)
Si (0.500, 0.000, 0.627)
B (0.500, 0.500, 0.349)
B (0.500, 0.000, 0.849)
Mn (0.000, 0.500, 0.510)
Mn (0.000, 0.000, 0.010)
V (0.000, 0.000, 0.293)
V (0.000, 0.500, 0.793)

Computed properties:
VASP energy: -7.8541 eV/atom
SG: No. 38

---

The following is a PBE calculation of a geometry-optimized MnVSiB structure, from Alexandria via LeMat-Bulk.

a = 2.836 Å, b = 2.709 Å, c = 10.974 Å
α = 90.00°, β = 90.00°, γ = 90.00°
Element x y z (fractional)
Mn (0.500, 0.500, 0.451)
Mn (0.500, 0.000, 0.951)
B (0.000, 0.000, 0.380)
B (0.000, 0.500, 0.880)
Si (0.000, 0.000, 0.579)
Si (0.000, 0.500, 0.079)
V (0.500, 0.500, 0.732)
V (0.500, 0.000, 0.232)

Computed properties:
VASP energy: -7.8570 eV/atom
SG: No. 38

---

The following is a PBE calculation of a geometry-optimized MnVSiB structure, from Alexandria via LeMat-Bulk.

a = 4.331 Å, b = 2.817 Å, c = 8.178 Å
α = 90.00°, β = 118.53°, γ = 90.00°
Element x y z (fractional)
Si (0.106, 0.000, 0.886)
Si (0.106, 0.500, 0.386)
B (0.608, 0.000, 0.859)
B (0.608, 0.500, 0.359)
Mn (0.226, 0.000, 0.194)
Mn (0.226, 0.500, 0.694)
V (0.617, 0.500, 0.079)
V (0.617, 0.000, 0.579)

Computed properties:
VASP energy: -7.8566 eV/atom
SG: No. 8

---

no.,formation energy from raw total energies (eV/atom)
1,-0.2001
2,-0.2569
3,-0.2598
4,-0.2594